VASP calculation (GGA-PBE) on a geometry-optimized MnNiAs2 structure.

Output
- Final energy: -6.12 eV per atom
- SG: Amm2 (38)
- Energy of formation: -62 meV per atom

Geometry as POSCAR:
```
MnNiAs2
1.0
4.628 0.000 0.000
0.000 1.534 4.230
0.000 -1.534 4.230
Mn Ni As
1 1 2
Direct
0.000 0.000 0.000
0.500 0.400 0.400
0.000 0.292 0.292
0.500 0.108 0.108
```



VASP calculation (GGA-PBE) on a geometry-optimized MnNiAs2 structure.

Output
- Final energy: -6.06 eV per atom
- SG: Cmmm (65)
- Energy of formation: 0 meV per atom

Geometry as POSCAR:
```
MnNiAs2
1.0
3.108 -3.177 0.000
3.108 3.177 0.000
0.000 0.000 2.943
Mn Ni As
1 1 2
Direct
0.000 0.000 0.000
0.500 0.500 0.000
0.000 0.500 0.500
0.500 0.000 0.500
```



VASP calculation (GGA-PBE) on a geometry-optimized MnNiAs2 structure.

Output
- Final energy: -6.07 eV per atom
- SG: C2/m (12)
- Energy of formation: -3 meV per atom

Geometry as POSCAR:
```
MnNiAs2
1.0
3.468 -1.733 0.000
3.468 1.733 0.000
-1.567 0.000 5.242
Mn Ni As
1 1 2
Direct
0.000 0.000 0.000
0.500 0.500 0.500
0.245 0.245 0.729
0.755 0.755 0.271
```



VASP calculation (GGA-PBE) on a geometry-optimized MnNiAs2 structure.

Output
- Final energy: -5.94 eV per atom
- SG: I-42d (122)
- Energy of formation: 119 meV per atom

Geometry as POSCAR:
```
MnNiAs2
1.0
-3.045 3.045 4.009
3.045 -3.045 4.009
3.045 3.045 -4.009
Mn Ni As
2 2 4
Direct
0.000 0.000 0.000
0.750 0.250 0.500
0.250 0.750 0.500
0.500 0.500 0.000
0.145 0.125 0.520
0.375 0.855 0.980
0.605 0.625 0.480
0.875 0.395 0.020
```



VASP calculation (GGA-PBE) on a geometry-optimized MnNiAs structure.

Output
- Final energy: -6.77 eV per atom
- SG: F-43m (216)
- Energy of formation: -236 meV per atom

Geometry as POSCAR:
```
MnNiAs
1.0
0.000 2.817 2.817
2.817 0.000 2.817
2.817 2.817 0.000
Mn Ni As
1 1 1
Direct
0.000 0.000 0.000
0.250 0.250 0.250
0.500 0.500 0.500
```



VASP calculation (GGA-PBE) on a geometry-optimized MnNi2As8 structure.

Output
- Final energy: -5.14 eV per atom
- SG: C2/m (12)
- Energy of formation: 128 meV per atom

Geometry as POSCAR:
```
MnNi2As8
1.0
6.809 -3.708 0.000
6.809 3.708 0.000
-0.090 0.000 4.507
Mn Ni As
1 2 8
Direct
0.000 0.000 0.000
0.188 0.188 0.230
0.812 0.812 0.770
0.160 0.160 0.729
0.172 0.652 0.595
0.348 0.828 0.405
0.358 0.358 0.217
0.642 0.642 0.783
0.652 0.172 0.595
0.828 0.348 0.405
0.840 0.840 0.271
```



VASP calculation (GGA-PBE) on a geometry-optimized MnNi3As2 structure.

Output
- Final energy: -6.15 eV per atom
- SG: C2/m (12)
- Energy of formation: -177 meV per atom

Geometry as POSCAR:
```
MnNi3As2
1.0
7.892 -1.844 0.000
7.892 1.844 0.000
-2.438 0.000 8.539
Mn Ni As
3 9 6
Direct
0.000 0.000 0.000
0.176 0.176 0.718
0.824 0.824 0.282
0.038 0.038 0.320
0.214 0.214 0.398
0.313 0.313 0.037
0.394 0.394 0.815
0.500 0.500 0.500
0.606 0.606 0.185
0.687 0.687 0.963
0.786 0.786 0.602
0.962 0.962 0.680
0.188 0.188 0.130
0.362 0.362 0.530
0.451 0.451 0.211
0.549 0.549 0.789
0.638 0.638 0.470
0.812 0.812 0.870
```



VASP calculation (GGA-PBE) on a geometry-optimized MnNiAs2 structure.

Output
- Final energy: -6.05 eV per atom
- SG: R-3m (166)
- Energy of formation: 16 meV per atom

Geometry as POSCAR:
```
MnNiAs2
1.0
1.487 0.859 7.273
-1.487 0.859 7.273
0.000 -1.717 7.273
Mn Ni As
1 1 2
Direct
0.000 0.000 0.000
0.500 0.500 0.500
0.252 0.252 0.252
0.748 0.748 0.748
```



VASP calculation (GGA-PBE) on a geometry-optimized MnNiAs structure.

Output
- Final energy: -6.67 eV per atom
- SG: P-6m2 (187)
- Energy of formation: -138 meV per atom

Geometry as POSCAR:
```
MnNiAs
1.0
4.008 0.000 0.000
-2.004 3.471 0.000
0.000 0.000 2.937
Mn Ni As
1 1 1
Direct
0.000 0.000 0.000
0.667 0.333 0.500
0.333 0.667 0.500
```



VASP calculation (GGA-PBE) on a geometry-optimized MnNiAs2 structure.

Output
- Final energy: -6.02 eV per atom
- SG: Fm-3m (225)
- Energy of formation: 47 meV per atom

Geometry as POSCAR:
```
MnNiAs2
1.0
0.000 3.062 3.062
3.062 0.000 3.062
3.062 3.062 0.000
Mn Ni As
1 1 2
Direct
0.000 0.000 0.000
0.500 0.500 0.500
0.250 0.250 0.250
0.750 0.750 0.750
```



VASP calculation (GGA-PBE) on a geometry-optimized MnNi4As structure.

Output
- Final energy: -6.24 eV per atom
- SG: Imma (74)
- Energy of formation: -78 meV per atom

Geometry as POSCAR:
```
MnNi4As
1.0
-2.108 7.489 2.302
2.108 -7.489 2.302
2.108 7.489 -2.302
Mn Ni As
2 8 2
Direct
0.308 0.058 0.250
0.692 0.942 0.750
0.081 0.416 0.665
0.158 0.073 0.085
0.251 0.416 0.835
0.488 0.073 0.415
0.512 0.927 0.585
0.749 0.584 0.165
0.842 0.927 0.915
0.919 0.584 0.335
0.000 0.500 0.500
0.500 0.500 0.000
```



VASP calculation (GGA-PBE) on a geometry-optimized MnNi2As2 structure.

Output
- Final energy: -6.03 eV per atom
- SG: I4/mmm (139)
- Energy of formation: -20 meV per atom

Geometry as POSCAR:
```
MnNi2As2
1.0
-1.985 1.985 4.859
1.985 -1.985 4.859
1.985 1.985 -4.859
Mn Ni As
1 2 2
Direct
0.000 0.000 0.000
0.250 0.750 0.500
0.750 0.250 0.500
0.376 0.376 0.000
0.624 0.624 0.000
```



VASP calculation (GGA-PBE) on a geometry-optimized MnNi15As4 structure.

Output
- Final energy: -5.88 eV per atom
- SG: P4/mmm (123)
- Energy of formation: -154 meV per atom

Geometry as POSCAR:
```
MnNi15As4
1.0
3.589 0.000 0.000
0.000 3.589 0.000
0.000 0.000 17.935
Mn Ni As
1 15 4
Direct
0.000 0.000 0.000
0.000 0.500 0.100
0.000 0.500 0.300
0.000 0.500 0.500
0.000 0.500 0.700
0.000 0.500 0.900
0.500 0.000 0.100
0.500 0.000 0.300
0.500 0.000 0.500
0.500 0.000 0.700
0.500 0.000 0.900
0.500 0.500 0.000
0.500 0.500 0.202
0.500 0.500 0.400
0.500 0.500 0.600
0.500 0.500 0.798
0.000 0.000 0.196
0.000 0.000 0.399
0.000 0.000 0.601
0.000 0.000 0.804
```



VASP calculation (GGA-PBE) on a geometry-optimized MnNiAs2 structure.

Output
- Final energy: -5.77 eV per atom
- SG: F-43m (216)
- Energy of formation: 296 meV per atom

Geometry as POSCAR:
```
MnNiAs2
1.0
0.000 3.129 3.129
3.129 0.000 3.129
3.129 3.129 0.000
Mn Ni As
1 1 2
Direct
0.000 0.000 0.000
0.250 0.250 0.250
0.500 0.500 0.500
0.750 0.750 0.750
```



VASP calculation (GGA-PBE) on a geometry-optimized MnNiAs structure.

Output
- Final energy: -6.79 eV per atom
- SG: P-62m (189)
- Energy of formation: -255 meV per atom

Geometry as POSCAR:
```
MnNiAs
1.0
6.166 0.000 0.000
-3.083 5.340 0.000
0.000 0.000 3.678
Mn Ni As
3 3 3
Direct
0.000 0.412 0.000
0.412 0.000 0.000
0.588 0.588 0.000
0.000 0.748 0.500
0.252 0.252 0.500
0.748 0.000 0.500
0.000 0.000 0.000
0.333 0.667 0.500
0.667 0.333 0.500
```



VASP calculation (GGA-PBE) on a geometry-optimized MnNiAs structure.

Output
- Final energy: -6.58 eV per atom
- SG: I4mm (107)
- Energy of formation: -43 meV per atom

Geometry as POSCAR:
```
MnNiAs
1.0
-1.662 1.662 3.689
1.662 -1.662 3.689
1.662 1.662 -3.689
Mn Ni As
1 1 1
Direct
0.000 0.000 0.000
0.657 0.657 0.000
0.332 0.332 0.000
```



VASP calculation (GGA-PBE) on a geometry-optimized MnNiAs2 structure.

Output
- Final energy: -6.13 eV per atom
- SG: Imm2 (44)
- Energy of formation: -65 meV per atom

Geometry as POSCAR:
```
MnNiAs2
1.0
-1.423 1.829 5.861
1.423 -1.829 5.861
1.423 1.829 -5.861
Mn Ni As
1 1 2
Direct
0.000 0.000 0.000
0.212 0.712 0.500
0.393 0.393 0.000
0.648 0.148 0.500
```



VASP calculation (GGA-PBE) on a geometry-optimized MnNiAs2 structure.

Output
- Final energy: -5.95 eV per atom
- SG: R3m (160)
- Energy of formation: 109 meV per atom

Geometry as POSCAR:
```
MnNiAs2
1.0
1.669 0.963 6.825
-1.669 0.963 6.825
0.000 -1.927 6.825
Mn Ni As
1 1 2
Direct
0.000 0.000 0.000
0.250 0.250 0.250
0.522 0.522 0.522
0.739 0.739 0.739
```



VASP calculation (GGA-PBE) on a geometry-optimized MnNiAs structure.

Output
- Final energy: -6.39 eV per atom
- SG: P3m1 (156)
- Energy of formation: 143 meV per atom

Geometry as POSCAR:
```
MnNiAs
1.0
2.907 0.000 0.000
-1.454 2.518 0.000
0.000 0.000 5.833
Mn Ni As
1 1 1
Direct
0.000 0.000 0.000
0.333 0.667 0.324
0.667 0.333 0.641
```



VASP calculation (GGA-PBE) on a geometry-optimized Mn2NiAs6 structure.

Output
- Final energy: -5.88 eV per atom
- SG: P-31m (162)
- Energy of formation: -99 meV per atom

Geometry as POSCAR:
```
Mn2NiAs6
1.0
5.918 0.000 0.000
-2.959 5.125 0.000
0.000 0.000 5.176
Mn Ni As
2 1 6
Direct
0.333 0.667 0.000
0.667 0.333 0.000
0.000 0.000 0.500
0.000 0.367 0.298
0.000 0.633 0.702
0.367 0.000 0.298
0.367 0.367 0.702
0.633 0.000 0.702
0.633 0.633 0.298
```



VASP calculation (GGA-PBE) on a geometry-optimized MnNiAs structure.

Output
- Final energy: -6.61 eV per atom
- SG: F-43m (216)
- Energy of formation: -78 meV per atom

Geometry as POSCAR:
```
MnNiAs
1.0
0.000 2.832 2.832
2.832 0.000 2.832
2.832 2.832 0.000
Mn Ni As
1 1 1
Direct
0.000 0.000 0.000
0.500 0.500 0.500
0.250 0.250 0.250
```



VASP calculation (GGA-PBE) on a geometry-optimized MnNiAs structure.

Output
- Final energy: -6.53 eV per atom
- SG: F-43m (216)
- Energy of formation: 7 meV per atom

Geometry as POSCAR:
```
MnNiAs
1.0
0.000 2.810 2.810
2.810 0.000 2.810
2.810 2.810 0.000
Mn Ni As
1 1 1
Direct
0.000 0.000 0.000
0.750 0.750 0.750
0.250 0.250 0.250
```